*one*
Density functional theory data (GGA-PBE) for an optimized crystal structure of DyMgCdPb.

Cell: 7.408 7.408 7.408 Å, 90.00 90.00 90.00°
Space group F-43m (No. 216)
Asymmetric unit:
Dy (0.000, 0.000, 0.000)
Mg (0.000, 0.000, 0.500)
Cd (0.250, 0.250, 0.250)
Pb (0.250, 0.250, 0.750)

Properties
The value obtained for the size of the total moment is 0.0 μB/f.u. The value obtained for the density of states at the Fermi level is 10.3 states/eV per cell.



*two*
Density functional theory data (GGA-PBE) for an optimized crystal structure of DyMgCdPb.

Cell: 4.402 4.648 4.886 Å, 90.00 90.00 90.00°
Space group Pmmm (No. 47)
Asymmetric unit:
Dy (0.000, 0.000, 0.000)
Mg (0.000, 0.500, 0.500)
Cd (0.500, 0.000, 0.500)
Pb (0.500, 0.500, 0.000)

Properties
The value obtained for the size of the total moment is 0.0 μB/f.u. The value obtained for the density of states at the Fermi level is 1.6 states/eV per cell.



Relative calculated energies, zero for the most stable structure, unit meV/atom: *one* 117; *two* 0.



*one*
Density functional theory data (GGA-PBE) for an optimized crystal structure of Dy2MnCd.

Cell: 7.292 7.292 7.292 Å, 90.00 90.00 90.00°
Space group Fm-3m (No. 225)
Asymmetric unit:
Dy (0.250, 0.250, 0.250)
Mn (0.000, 0.000, 0.000)
Cd (0.000, 0.000, 0.500)

Properties
The value obtained for the size of the total moment is 3.1 μB/f.u. The value obtained for the density of states at the Fermi level is 22.0 states/eV per cell.



*two*
Density functional theory data (GGA-PBE) for an optimized crystal structure of Dy2MnCd.

Cell: 3.517 3.517 7.780 Å, 90.00 90.00 90.00°
Space group P4/mmm (No. 123)
Asymmetric unit:
Dy (0.000, 0.000, 0.225)
Mn (0.500, 0.500, 0.000)
Cd (0.500, 0.500, 0.500)

Properties
The value obtained for the size of the total moment is 2.9 μB/f.u. The value obtained for the density of states at the Fermi level is 4.0 states/eV per cell.



Relative calculated energies, zero for the most stable structure, unit meV/atom: *one* 63; *two* 0.